A plane-wave DFT calculation with GGA-PBEsol was carried out for crystalline Fe2HgPt at its relaxed geometry.

Cell: 3.8669 3.8714 3.8714 Å, 90.00 90.00 90.00°
Each line ends with the local moment (μB).
Sites, in units of the cell vectors:
Fe 0.0000 0.0000 0.5000  2.82
Fe 0.0000 0.5000 0.0000  2.82
Hg 0.5000 0.5000 0.5000  -0.02
Pt 0.5000 0.0000 0.0000  0.21

Energy relative to the elements (meV/atom): 172.9

***

A plane-wave DFT calculation with GGA-PBEsol was carried out for crystalline Y2HfO5 at its relaxed geometry.

Cell: 4.0646 5.9237 10.7532 Å, 90.00 90.00 110.06°
Sites, in units of the cell vectors:
Y 0.1394 0.2789 0.9340
Y 0.1394 0.2789 0.5660
Y 0.8606 0.7211 0.4340
Y 0.8606 0.7211 0.0660
Hf 0.1776 0.3552 0.2500
Hf 0.8224 0.6448 0.7500
O 0.0485 0.0970 0.3809
O 0.2905 0.5811 0.0875
O 0.0485 0.0970 0.1191
O 0.2905 0.5811 0.4125
O 0.2652 0.5303 0.7500
O 0.9515 0.9030 0.8809
O 0.7348 0.4697 0.2500
O 0.7095 0.4189 0.9125
O 0.9515 0.9030 0.6191
O 0.7095 0.4189 0.5875

Distance to the lowest polymorph of the same formula (eV per atom): 0.0000
ΔE_f (raw) (meV/atom): -3606

***

A plane-wave DFT calculation with GGA-PBEsol was carried out for crystalline HfZnGeSe2 at its relaxed geometry.

Cell: 4.5800 4.8061 4.8061 Å, 90.00 90.00 90.00°
Sites, in units of the cell vectors:
Ge 0.5000 0.0000 0.0000
Hf 0.5000 0.5000 0.5000
Zn 0.0000 0.0000 0.0000
Se 0.0000 0.0000 0.5000
Se 0.0000 0.5000 0.0000

ΔE_f (raw) (meV/atom): 439

***

A plane-wave DFT calculation with GGA-PBEsol was carried out for crystalline LiFe2Hg at its relaxed geometry.

Cell: 2.7326 2.7326 9.3287 Å, 81.58 81.58 60.00°
Each line ends with the local moment (μB).
Sites, in units of the cell vectors:
Fe 0.2524 0.2524 0.2429  2.75
Fe 0.7476 0.7476 0.7571  2.75
Hg 0.5000 0.5000 0.5000  -0.03
Li 0.0000 0.0000 0.0000  -0.02

Energy relative to the elements (meV/atom): 545.8

***

A plane-wave DFT calculation with GGA-PBEsol was carried out for crystalline YHg2Au at its relaxed geometry.

Cell: 4.9131 4.9193 4.9131 Å, 60.04 90.00 119.96°
Sites, in units of the cell vectors:
Y 0.0000 0.0000 0.0000
Au 0.2500 0.5000 0.2500
Hg 0.5000 0.0000 0.5000
Hg 0.7500 0.5000 0.7500

Energy relative to the elements (meV/atom): -545.5

***

A plane-wave DFT calculation with GGA-PBEsol was carried out for crystalline ZrSc2Mo at its relaxed geometry.

Cell: 3.0042 3.0042 10.6441 Å, 81.89 81.89 60.00°
Sites, in units of the cell vectors:
Sc 0.9048 0.9048 0.2856
Sc 0.0952 0.0952 0.7144
Mo 0.5000 0.5000 0.5000
Zr 0.0000 0.0000 0.0000

Distance to the lowest polymorph of the same formula (eV per atom): 0.2899
Energy relative to the elements (meV/atom): 364.0